Compound: FeH3O
Source: Alexandria
Functional: PBE+U
Structure: relaxed

- crystal system = cubic
- E_tot (eV/f.u.) = -16.402
- E above lowest polymorph (meV/atom) = 0

Cell and atoms, written as POSCAR:
```
FeH3O
1.0
-2.997 -1.385 -0.141
0.030 -0.398 3.281
-1.392 2.974 0.374
H Fe O
3 1 1
Direct
0.000 0.500 0.000 H
0.500 0.000 0.000 H
0.000 0.000 0.500 H
0.000 0.000 0.000 Fe
0.500 0.500 0.500 O
```